Rb2ZrCuSi, single point on PBEsol structure, DFT SCAN; D(E_F) = 4.8 states/eV/cell; total DFT energy (no corrections) = -18.46 eV per atom
1.0
6.2962 0.0000 0.0000
0.0000 6.2962 0.0000
0.0000 0.0000 4.3500
Rb Zr Cu Si
2 1 1 1
Cartesian
0.0000 3.1481 0.0000
3.1481 0.0000 0.0000
0.0000 0.0000 2.1750
3.1481 3.1481 0.0000
3.1481 3.1481 2.1750